No. 1
AcIrS: optimized geometry, PBE-GGA.

Properties
- E above lowest polymorph: 805 meV per atom

Lattice parameters (Å, degrees): 3.6059 3.6059 5.7341 108.33 108.33 90.00
Last column: nearest neighbours and their distance in Å.
Sites, in units of the cell vectors:
Ir (0.7120, 0.7120, 0.4240)  4 S 2.65
Ac (0.0064, 0.0064, 0.0128)  1 S 2.83, 1 Ir 3.02
S (0.2816, 0.2816, 0.5632)  4 Ir 2.65, 1 Ac 2.83

---

No. 2
AcIrS: optimized geometry, PBE-GGA.

Properties
- E above lowest polymorph: 0 meV per atom

Lattice parameters (Å, degrees): 6.0578 6.0199 7.8687 102.80 90.00 90.00
Last column: nearest neighbours and their distance in Å.
Sites, in units of the cell vectors:
Ac (0.6250, 0.7448, 0.2682)  5 S 3.04-3.32, 3 Ir 3.15-3.38
Ac (0.1250, 0.2552, 0.2318)  5 S 3.04-3.32, 3 Ir 3.15-3.38
Ac (0.8750, 0.7448, 0.7682)  5 S 3.04-3.32, 3 Ir 3.15-3.38
Ac (0.3750, 0.2552, 0.7318)  5 S 3.04-3.32, 3 Ir 3.15-3.38
S (0.1004, 0.7368, 0.1429)  2 Ir 2.31-2.32
S (0.8996, 0.2632, 0.8571)  2 Ir 2.31-2.32
S (0.6004, 0.2632, 0.3571)  2 Ir 2.31-2.32
S (0.3996, 0.7368, 0.6429)  2 Ir 2.31-2.32
Ir (0.1480, 0.8139, 0.4434)  2 S 2.31-2.32
Ir (0.6480, 0.1861, 0.0566)  2 S 2.31-2.32
Ir (0.3520, 0.8139, 0.9434)  2 S 2.31-2.32
Ir (0.8520, 0.1861, 0.5566)  2 S 2.31-2.32

---

No. 3
Ac2IrS: optimized geometry, PBE-GGA.

Properties
- E above lowest polymorph: 366 meV per atom

Lattice parameters (Å, degrees): 5.2837 5.2837 5.2837 60.00 60.00 60.00
Last column: nearest neighbours and their distance in Å.
Sites, in units of the cell vectors:
Ir (0.0000, 0.0000, 0.0000)  8 Ac 3.24
Ac (0.7500, 0.7500, 0.7500)  4 S 3.24, 4 Ir 3.24
Ac (0.2500, 0.2500, 0.2500)  4 S 3.24, 4 Ir 3.24
S (0.5000, 0.5000, 0.5000)  8 Ac 3.24

---

No. 4
Ac4SbIrS2: optimized geometry, PBE-GGA.

Lattice parameters (Å, degrees): 4.4335 7.8849 7.7202 108.61 90.00 90.00
Last column: nearest neighbours and their distance in Å.
Sites, in units of the cell vectors:
Ac (0.0000, 0.2686, 0.7558)  3 S 3.09-3.26, 2 Ir 3.10, 1 Sb 3.25
Ac (0.5000, 0.7264, 0.7495)  1 Ir 3.02, 3 S 3.10-3.32, 2 Sb 3.26
Ac (0.0000, 0.7314, 0.2442)  3 S 3.09-3.26, 2 Ir 3.10, 1 Sb 3.25
Ac (0.5000, 0.2736, 0.2505)  1 Ir 3.02, 3 S 3.10-3.32, 2 Sb 3.26
Sb (0.0000, 0.0000, 0.0000)  6 Ac 3.25-3.26
S (0.5000, 0.0000, 0.5000)  6 Ac 3.26-3.32
S (0.0000, 0.5000, 0.5000)  6 Ac 3.09-3.10
Ir (0.5000, 0.5000, 0.0000)  6 Ac 3.02-3.10

---

No. 5
Ac6Ir3SeS2: optimized geometry, PBE-GGA.

Lattice parameters (Å, degrees): 4.3161 8.9893 9.9759 106.21 102.49 90.00
Last column: nearest neighbours and their distance in Å.
Sites, in units of the cell vectors:
Ac (0.0040, 0.7337, 0.0080)  3 Ir 3.00-3.03, 1 S 3.21, 2 Se 3.24
Ac (0.3266, 0.9257, 0.6533)  3 Ir 2.99-3.04, 2 S 3.21, 1 Se 3.25
Ac (0.6734, 0.0743, 0.3467)  3 Ir 2.99-3.04, 2 S 3.21, 1 Se 3.25
Ac (0.3367, 0.4070, 0.6734)  3 Ir 3.03-3.05, 3 S 3.18-3.19
Ac (0.9960, 0.2663, 0.9920)  3 Ir 3.00-3.03, 1 S 3.21, 2 Se 3.24
Ac (0.6633, 0.5930, 0.3266)  3 Ir 3.03-3.05, 3 S 3.18-3.19
Se (0.5000, 0.0000, 0.0000)  6 Ac 3.24-3.25
Ir (0.8336, 0.1684, 0.6672)  6 Ac 2.99-3.04
Ir (0.5000, 0.5000, 0.0000)  6 Ac 3.00-3.05
Ir (0.1664, 0.8316, 0.3328)  6 Ac 2.99-3.04
S (0.8328, 0.6661, 0.6656)  6 Ac 3.18-3.21
S (0.1672, 0.3339, 0.3344)  6 Ac 3.18-3.21

---

No. 6
Ac4IrSeS2: optimized geometry, PBE-GGA.

Lattice parameters (Å, degrees): 4.3145 7.7470 7.6249 108.84 90.00 90.00
Last column: nearest neighbours and their distance in Å.
Sites, in units of the cell vectors:
Ac (0.0000, 0.2689, 0.7627)  2 Ir 3.01, 3 S 3.09-3.21, 1 Se 3.17
Ac (0.5000, 0.2611, 0.2542)  3 S 3.06-3.17, 1 Ir 3.08, 2 Se 3.16
Ac (0.5000, 0.7389, 0.7458)  3 S 3.06-3.17, 1 Ir 3.08, 2 Se 3.16
Ac (0.0000, 0.7311, 0.2373)  2 Ir 3.01, 3 S 3.09-3.21, 1 Se 3.17
Se (0.0000, 0.0000, 0.0000)  6 Ac 3.16-3.17
Ir (0.5000, 0.5000, 0.0000)  6 Ac 3.01-3.08
S (0.5000, 0.0000, 0.5000)  6 Ac 3.17-3.21
S (0.0000, 0.5000, 0.5000)  6 Ac 3.06-3.09

---

| no. | DOS(E_F) (states/eV per cell) | final energy (eV/atom) |
| --- | --- | --- |
| 1 | 3.10 | -5.973 |
| 2 | 6.19 | -6.778 |
| 3 | 3.33 | -6.238 |
| 4 | 5.77 | -6.098 |
| 5 | 7.84 | -6.534 |
| 6 | 6.22 | -6.240 |